Material: Li2PuFe2O6
Method: DFT, GGA+U
State: relaxed

CIF file:
```
data_Li2PuFe2O6
_chemical_formula_sum 'Li2 Pu1 Fe2 O6'
_cell_length_a 5.322
_cell_length_b 5.322
_cell_length_c 5.617
_cell_angle_alpha 104.33
_cell_angle_beta 104.33
_cell_angle_gamma 115.15
_space_group_name_H-M_alt 'P 1'
_space_group_IT_number 1
loop_
_space_group_symop_operation_xyz
'x,y,z'
loop_
_atom_site_label
_atom_site_fract_x
_atom_site_fract_y
_atom_site_fract_z
O1 0.607 0.977 0.230
Li1 0.655 0.345 0.500
Fe1 0.823 0.177 0.000
O2 0.977 0.607 0.230
Li2 0.345 0.655 0.500
O3 0.784 0.784 0.736
Fe2 0.177 0.823 0.000
Pu1 0.000 0.000 0.500
O4 0.216 0.216 0.264
O5 0.393 0.023 0.770
O6 0.023 0.393 0.770
```

## Properties
* V: 11.6 Å³/atom
* magnetic moment: 6.00 μB per cell
* raw total energy: -7.39 eV/atom